No. 1
Fe4CuNi GGA-PBE optimized geometry; final energy = -42.37 eV per formula unit; symmetry = F-43m; M_tot = 8.96 μB/cell; DOS(E_F) = 4.59 states/eV per cell; ΔH_f (0 K) = 21.8 kJ/mol of atoms
1.0
0.000 3.290 3.290
3.290 0.000 3.290
3.290 3.290 0.000
Fe Cu Ni
4 1 1
Direct
0.125 0.125 0.125
0.125 0.125 0.625
0.125 0.625 0.125
0.625 0.125 0.125
0.500 0.500 0.500
0.750 0.750 0.750

No. 2
FeCuNi2 GGA-PBE optimized geometry; final energy = -24.06 eV per formula unit; symmetry = C2/m; M_tot = 3.86 μB/cell; DOS(E_F) = 4.18 states/eV per cell; ΔH_f (0 K) = 1.5 kJ/mol of atoms
1.0
4.137 -1.258 0.000
4.137 1.258 0.000
-0.742 0.000 4.366
Fe Cu Ni
1 1 2
Direct
0.000 0.000 0.000
0.500 0.500 0.500
0.251 0.251 0.752
0.749 0.749 0.248

No. 3
Fe2CuNi GGA-PBE optimized geometry; distance to the lowest polymorph of the same formula = 8 meV/atom; final energy = -26.62 eV per formula unit; symmetry = Cmmm; M_tot = 6.05 μB/cell; DOS(E_F) = 3.29 states/eV per cell; ΔH_f (0 K) = 4.4 kJ/mol of atoms
1.0
1.781 -1.794 0.000
1.781 1.794 0.000
0.000 0.000 7.284
Fe Cu Ni
2 1 1
Direct
0.000 0.000 0.243
0.000 0.000 0.757
0.500 0.500 0.500
0.500 0.500 0.000

No. 4
FeCuNi GGA-PBE optimized geometry; distance to the lowest polymorph of the same formula = 76 meV/atom; final energy = -18.12 eV per formula unit; symmetry = C2/m; M_tot = 6.56 μB/cell; DOS(E_F) = 4.34 states/eV per cell; ΔH_f (0 K) = 7.2 kJ/mol of atoms
1.0
3.420 -2.028 0.000
3.420 2.028 0.000
-0.178 0.000 5.019
Fe Cu Ni
2 2 2
Direct
0.166 0.166 0.406
0.834 0.834 0.594
0.167 0.167 0.911
0.833 0.833 0.089
0.499 0.499 0.257
0.501 0.501 0.743

No. 5
Fe7Cu6Ni16 GGA-PBE optimized geometry; final energy = -172.80 eV per formula unit; symmetry = Fm-3m; M_tot = 28.09 μB/cell; DOS(E_F) = 18.76 states/eV per cell; ΔH_f (0 K) = 11.7 kJ/mol of atoms
1.0
0.000 5.615 5.615
5.615 0.000 5.615
5.615 5.615 0.000
Fe Cu Ni
7 6 16
Direct
0.000 0.000 0.000
0.000 0.000 0.500
0.000 0.500 0.000
0.000 0.500 0.500
0.500 0.000 0.000
0.500 0.000 0.500
0.500 0.500 0.000
0.283 0.283 0.717
0.283 0.717 0.283
0.283 0.717 0.717
0.717 0.283 0.283
0.717 0.283 0.717
0.717 0.717 0.283
0.000 0.333 0.333
0.000 0.667 0.667
0.120 0.120 0.120
0.120 0.120 0.641
0.120 0.641 0.120
0.333 0.000 0.333
0.333 0.333 0.000
0.333 0.333 0.333
0.359 0.880 0.880
0.641 0.120 0.120
0.667 0.000 0.667
0.667 0.667 0.000
0.667 0.667 0.667
0.880 0.359 0.880
0.880 0.880 0.359
0.880 0.880 0.880

No. 6
FeCu2Ni GGA-PBE optimized geometry; final energy = -22.14 eV per formula unit; symmetry = I4/mmm; M_tot = 3.57 μB/cell; DOS(E_F) = 2.70 states/eV per cell; ΔH_f (0 K) = 7.2 kJ/mol of atoms
1.0
-1.767 1.767 3.749
1.767 -1.767 3.749
1.767 1.767 -3.749
Fe Cu Ni
1 2 1
Direct
0.000 0.000 0.000
0.250 0.750 0.500
0.750 0.250 0.500
0.500 0.500 0.000

No. 7
FeCu3Ni GGA-PBE optimized geometry; distance to the lowest polymorph of the same formula = 173 meV/atom; final energy = -20.15 eV per formula unit; symmetry = Pm-3m; M_tot = 3.39 μB/cell; DOS(E_F) = 6.15 states/eV per cell; ΔH_f (0 K) = 123.2 kJ/mol of atoms
1.0
4.351 0.000 0.000
0.000 4.351 0.000
0.000 0.000 4.351
Fe Cu Ni
1 3 1
Direct
0.000 0.000 0.000
0.000 0.000 0.500
0.000 0.500 0.000
0.500 0.000 0.000
0.500 0.500 0.500

No. 8
FeCuNi2 GGA-PBE optimized geometry; final energy = -23.76 eV per formula unit; symmetry = P4mm; M_tot = 3.81 μB/cell; DOS(E_F) = 3.53 states/eV per cell; ΔH_f (0 K) = 8.8 kJ/mol of atoms
1.0
3.004 0.000 0.000
0.000 3.004 0.000
0.000 0.000 5.114
Fe Cu Ni
1 1 2
Direct
0.000 0.000 0.000
0.500 0.500 0.734
0.000 0.000 0.490
0.500 0.500 0.232

No. 9
FeCuNi GGA-PBE optimized geometry; distance to the lowest polymorph of the same formula = 0 meV/atom; final energy = -18.34 eV per formula unit; symmetry = P4/nmm; M_tot = 5.91 μB/cell; DOS(E_F) = 4.33 states/eV per cell; ΔH_f (0 K) = -0.1 kJ/mol of atoms
1.0
2.515 0.000 0.000
0.000 2.515 0.000
0.000 0.000 10.879
Fe Cu Ni
2 2 2
Direct
0.250 0.250 0.087
0.750 0.750 0.913
0.250 0.250 0.415
0.750 0.750 0.585
0.250 0.250 0.752
0.750 0.750 0.248

No. 10
Fe2CuNi GGA-PBE optimized geometry; distance to the lowest polymorph of the same formula = 55 meV/atom; final energy = -26.43 eV per formula unit; symmetry = I-4m2; M_tot = 5.83 μB/cell; DOS(E_F) = 5.82 states/eV per cell; ΔH_f (0 K) = 8.9 kJ/mol of atoms
1.0
-1.811 1.811 3.536
1.811 -1.811 3.536
1.811 1.811 -3.536
Fe Cu Ni
2 1 1
Direct
0.000 0.000 0.000
0.750 0.250 0.500
0.500 0.500 0.000
0.250 0.750 0.500

No. 11
FeCuNi GGA-PBE optimized geometry; distance to the lowest polymorph of the same formula = 47 meV/atom; final energy = -18.20 eV per formula unit; symmetry = P3m1; M_tot = 3.20 μB/cell; DOS(E_F) = 2.32 states/eV per cell; ΔH_f (0 K) = 4.4 kJ/mol of atoms
1.0
2.529 0.000 0.000
-1.264 2.190 0.000
0.000 0.000 6.253
Fe Cu Ni
1 1 1
Direct
0.000 0.000 0.000
0.333 0.667 0.657
0.667 0.333 0.322

No. 12
FeCuNi GGA-PBE optimized geometry; distance to the lowest polymorph of the same formula = 67 meV/atom; final energy = -18.14 eV per formula unit; symmetry = I4mm; M_tot = 3.49 μB/cell; DOS(E_F) = 1.92 states/eV per cell; ΔH_f (0 K) = 6.3 kJ/mol of atoms
1.0
-1.498 1.498 3.912
1.498 -1.498 3.912
1.498 1.498 -3.912
Fe Cu Ni
1 1 1
Direct
0.000 0.000 0.000
0.327 0.327 0.000
0.658 0.658 0.000